1.
Entry from Alexandria: crystalline Fe3H at its relaxed geometry (PBE).

```
Fe3H
1.0
-1.2225 3.6414 2.1412
1.2225 -3.6414 2.1412
1.2225 3.6414 -2.1412
Fe H
3 1
Direct
0.0000 0.0000 0.0000
0.3262 0.5051 0.8212
0.6839 0.5051 0.1788
0.3496 0.8496 0.5000
```

Summary:
Energy above the most stable polymorph in this dataset: 47 meV/atom
Crystal system: orthorhombic



2.
Entry from Alexandria: crystalline Fe2H3 at its relaxed geometry (PBE).

```
Fe2H3
1.0
2.5944 0.0000 0.0000
-1.2955 2.2525 0.0000
-0.0591 -0.0840 6.1116
Fe H
2 3
Direct
0.1585 0.3260 0.3236
0.8415 0.6740 0.6764
0.1807 0.3452 0.8234
0.5000 0.0000 0.5000
0.8193 0.6548 0.1766
```

Summary:
Energy above the most stable polymorph in this dataset: 0 meV/atom
Crystal system: triclinic



3.
Entry from Alexandria: crystalline Fe3H at its relaxed geometry (PBE).

```
Fe3H
1.0
-1.7157 1.7157 3.2456
1.7157 -1.7157 3.2456
1.7157 1.7157 -3.2456
Fe H
3 1
Direct
0.0000 0.0000 0.0000
0.2500 0.7500 0.5000
0.7500 0.2500 0.5000
0.5000 0.5000 0.0000
```

Summary:
Energy above the most stable polymorph in this dataset: 485 meV/atom
Crystal system: tetragonal